#i
{
  "formula": "Li2LaOs",
  "functional": "SCAN",
  "state": "single point on PBEsol structure",
  "lattice_angstrom": [[3.431, 0.000, 0.000], [0.000, 4.543, -0.177], [-1.715, -2.049, 4.897]],
  "species": ["Li", "Li", "La", "Os"],
  "fractional_positions": [[0.720, 0.718, 0.440], [0.280, 0.282, 0.560], [0.500, 0.000, 0.000], [0.000, 0.500, 0.000]]
}



#ii
{
  "formula": "Li2LaOs",
  "functional": "SCAN",
  "state": "single point on PBEsol structure",
  "lattice_angstrom": [[2.723, 0.000, 0.000], [0.000, 2.723, 0.000], [0.000, 0.000, 9.744]],
  "species": ["La", "Os", "Li", "Li"],
  "fractional_positions": [[0.500, 0.500, 0.500], [0.500, 0.500, 0.000], [0.000, 0.000, 0.802], [0.000, 0.000, 0.198]]
}



Stability, highest: #i



#i
{
  "formula": "LiLa2Os",
  "functional": "SCAN",
  "state": "single point on PBEsol structure",
  "lattice_angstrom": [[3.447, 0.000, 0.000], [0.000, 3.447, 0.000], [0.000, 0.000, 8.787]],
  "species": ["Os", "La", "La", "Li"],
  "fractional_positions": [[0.500, 0.500, 0.500], [0.000, 0.000, 0.300], [0.000, 0.000, 0.700], [0.500, 0.500, 0.000]]
}



#ii
{
  "formula": "LiLa2Os",
  "functional": "SCAN",
  "state": "single point on PBEsol structure",
  "lattice_angstrom": [[-0.024, 3.298, -0.992], [0.678, -1.399, -4.668], [-6.237, -1.226, 2.054]],
  "species": ["Os", "La", "La", "Li"],
  "fractional_positions": [[0.750, 0.250, 0.499], [0.062, 0.062, 0.123], [0.261, 0.761, 0.523], [0.427, 0.427, 0.855]]
}



Stability, highest: #i



#i
{
  "formula": "Li2LaPb2",
  "functional": "SCAN",
  "state": "single point on PBEsol structure",
  "lattice_angstrom": [[3.249, 0.000, 0.000], [0.000, 8.499, 0.000], [0.000, 0.000, 8.499]],
  "species": ["Pb", "Pb", "Pb", "Pb", "Li", "Li", "Li", "Li", "La", "La"],
  "fractional_positions": [[0.500, 0.322, 0.178], [0.500, 0.178, 0.678], [0.500, 0.678, 0.822], [0.500, 0.822, 0.322], [0.000, 0.885, 0.615], [0.000, 0.115, 0.385], [0.000, 0.615, 0.115], [0.000, 0.385, 0.885], [0.000, 0.500, 0.500], [0.000, 0.000, 0.000]]
}



#ii
{
  "formula": "Li2LaPb2",
  "functional": "SCAN",
  "state": "single point on PBEsol structure",
  "lattice_angstrom": [[4.470, 0.000, 0.000], [0.000, 4.470, 0.000], [-2.235, -2.235, 6.180]],
  "species": ["Li", "Li", "La", "Pb", "Pb"],
  "fractional_positions": [[0.750, 0.250, 0.500], [0.250, 0.750, 0.500], [0.000, 0.000, 0.000], [0.618, 0.618, 0.237], [0.382, 0.382, 0.763]]
}



Stability, highest: #ii



#i
{
  "formula": "Li2LaPt",
  "functional": "SCAN",
  "state": "single point on PBEsol structure",
  "lattice_angstrom": [[4.185, 0.000, -0.140], [0.000, 3.858, 0.000], [-2.005, 0.000, 5.569]],
  "species": ["Li", "Li", "Pt", "La"],
  "fractional_positions": [[0.547, 0.500, 0.228], [0.975, 0.000, 0.072], [0.714, 0.000, 0.553], [0.264, 0.500, 0.647]]
}



#ii
{
  "formula": "Li2LaPt",
  "functional": "SCAN",
  "state": "single point on PBEsol structure",
  "lattice_angstrom": [[-1.214, 4.215, -0.589], [-3.463, 0.966, -2.581], [-4.458, 1.419, 2.718]],
  "species": ["La", "Li", "Li", "Pt"],
  "fractional_positions": [[0.239, 0.239, 0.283], [0.756, 0.756, 0.731], [0.040, 0.040, 0.880], [0.453, 0.453, 0.642]]
}



Stability, highest: #ii



#i
{
  "formula": "LiLa3Ru",
  "functional": "SCAN",
  "state": "single point on PBEsol structure",
  "lattice_angstrom": [[-2.726, -0.382, 4.749], [-0.696, -5.381, -0.833], [4.713, -1.016, 2.624]],
  "species": ["Li", "La", "La", "La", "Ru"],
  "fractional_positions": [[0.500, 0.500, 0.500], [0.500, 0.000, 0.000], [0.000, 0.000, 0.500], [0.000, 0.500, 0.000], [0.000, 0.000, 0.000]]
}



#ii
{
  "formula": "LiLa3Ru",
  "functional": "SCAN",
  "state": "single point on PBEsol structure",
  "lattice_angstrom": [[6.029, 0.000, 0.000], [0.000, 6.344, 0.000], [0.000, 0.000, 7.678]],
  "species": ["Li", "Li", "La", "La", "La", "La", "La", "La", "Ru", "Ru"],
  "fractional_positions": [[0.250, 0.839, 0.500], [0.750, 0.161, 0.500], [0.250, 0.862, 0.000], [0.750, 0.138, 0.000], [0.750, 0.669, 0.275], [0.250, 0.331, 0.275], [0.750, 0.669, 0.725], [0.250, 0.331, 0.725], [0.500, 0.500, 0.000], [0.000, 0.500, 0.000]]
}



Stability, highest: #ii



#i
{
  "formula": "Sr2LiLa",
  "functional": "SCAN",
  "state": "single point on PBEsol structure",
  "lattice_angstrom": [[3.847, 0.041, 0.000], [-0.050, 3.847, 0.000], [0.000, 0.000, 10.544]],
  "species": ["Sr", "Sr", "La", "Li"],
  "fractional_positions": [[0.000, 0.000, 0.772], [0.000, 0.000, 0.228], [0.500, 0.500, 0.500], [0.500, 0.500, 0.000]]
}



#ii
{
  "formula": "Sr2LiLa",
  "functional": "SCAN",
  "state": "single point on PBEsol structure",
  "lattice_angstrom": [[-2.168, 5.524, -1.223], [-5.815, 0.696, -1.552], [-3.863, 2.656, 3.838]],
  "species": ["Sr", "Sr", "Li", "La"],
  "fractional_positions": [[0.750, 0.750, 0.750], [0.000, 0.000, 0.000], [0.250, 0.250, 0.250], [0.500, 0.500, 0.500]]
}



Stability, highest: #i